(1)
# KBaNbO4 (GGA-PBE, optimized geometry)
# formation energy without anion corrections	-2.5490	eV/atom
data_KBaNbO4
_chemical_formula_sum 'K2 Ba2 Nb2 O8'
_symmetry_space_group_name_H-M 'I 4 m m'
_symmetry_Int_Tables_number 107
_symmetry_space_group_name_Hall 'I 4 -2'
_cell_length_a 4.0901
_cell_length_b 4.0901
_cell_length_c 13.6213
_cell_angle_alpha 90.00
_cell_angle_beta 90.00
_cell_angle_gamma 90.00
loop_
_atom_site_label
_atom_site_fract_x
_atom_site_fract_y
_atom_site_fract_z
K1 0.0000 0.0000 0.0000
Ba1 0.0000 0.0000 0.3021
Nb1 0.0000 0.0000 0.6447
O1 0.0000 0.0000 0.5033
O2 0.0000 0.0000 0.7973
O3 0.0000 0.5000 0.1530



(2)
# Nd2TmAs3Rh12 (GGA-PBE, optimized geometry)
# energy relative to the elements	-5.240	eV per formula unit
data_Nd2TmAs3Rh12
_chemical_formula_sum 'Nd6 Tm3 As9 Rh36'
_symmetry_space_group_name_H-M 'R -3 m'
_symmetry_Int_Tables_number 166
_symmetry_space_group_name_Hall '-R 3 2"'
_cell_length_a 9.1513
_cell_length_b 9.1513
_cell_length_c 12.9905
_cell_angle_alpha 90.00
_cell_angle_beta 90.00
_cell_angle_gamma 120.00
loop_
_atom_site_label
_atom_site_fract_x
_atom_site_fract_y
_atom_site_fract_z
Nd1 0.0000 0.0000 0.1431
Tm1 0.0000 0.0000 0.5000
As1 0.0000 0.5000 0.0000
Rh1 0.0026 0.5013 0.8172
Rh2 0.0127 0.5064 0.3849